# 1
DFT (GGA-PBE) results for an optimized crystal structure of SrLi2W.

Cell: 6.005 6.005 6.005 Å, 152.40 126.66 61.10°
Atoms (fractional coordinates):
Li 0.009 0.009 0.000
Li 0.223 0.723 0.500
Sr 0.492 0.492 0.000
W 0.776 0.276 0.500

Output
E above lowest polymorph   0.178 eV/atom
Crystal system   orthorhombic
Calculated formation energy   0.905 eV/atom



# 2
DFT (GGA-PBE) results for an optimized crystal structure of Be2In2AgPd5.

Cell: 3.401 9.518 9.518 Å, 90.00 90.00 90.00°
Atoms (fractional coordinates):
Be 0.000 0.124 0.624
Be 0.000 0.876 0.376
Be 0.000 0.624 0.876
Be 0.000 0.376 0.124
In 0.000 0.675 0.175
In 0.000 0.325 0.825
In 0.000 0.175 0.325
In 0.000 0.825 0.675
Ag 0.000 0.000 0.000
Ag 0.000 0.500 0.500
Pd 0.500 0.216 0.075
Pd 0.500 0.784 0.925
Pd 0.500 0.075 0.784
Pd 0.500 0.716 0.425
Pd 0.500 0.925 0.216
Pd 0.500 0.284 0.575
Pd 0.500 0.575 0.716
Pd 0.500 0.425 0.284
Pd 0.500 0.500 0.000
Pd 0.500 0.000 0.500

Output
Crystal system   tetragonal
Calculated formation energy   -0.389 eV/atom



# 3
DFT (GGA-PBE) results for an optimized crystal structure of K2CeCl2F4.

Cell: 6.939 6.939 6.939 Å, 85.16 122.83 122.83°
Atoms (fractional coordinates):
K 0.500 0.750 0.250
K 0.500 0.250 0.750
Ce 0.000 0.000 0.000
Cl 0.000 0.736 0.736
Cl 0.000 0.264 0.264
F 0.000 0.774 0.226
F 0.548 0.774 0.774
F 0.000 0.226 0.774
F 0.452 0.226 0.226

Output
Crystal system   tetragonal
DFT total energy   -4.998 eV per atom



# 4
DFT (GGA-PBE) results for an optimized crystal structure of NbSi2PtSe.

Cell: 4.878 4.830 4.878 Å, 90.00 90.00 90.00°
Atoms (fractional coordinates):
Nb 0.000 0.000 0.000
Si 0.000 0.000 0.500
Si 0.500 0.000 0.000
Se 0.000 0.500 0.000
Pt 0.500 0.500 0.500

Output
Crystal system   tetragonal
DFT total energy   -5.202 eV per atom



# 5
DFT (GGA-PBE) results for an optimized crystal structure of PuCdPt2.

Cell: 4.021 6.850 6.445 Å, 90.00 90.00 107.07°
Last column: magnetic moment on the atom in μB.
Atoms (fractional coordinates):
Pu 0.230 0.460 0.250  4.99
Pu 0.770 0.540 0.750  4.99
Cd 0.961 0.922 0.250  0.01
Cd 0.039 0.078 0.750  0.01
Pt 0.396 0.793 0.962  -0.08
Pt 0.604 0.207 0.038  -0.08
Pt 0.604 0.207 0.462  -0.08
Pt 0.396 0.793 0.538  -0.08

Output
Crystal system   orthorhombic
Calculated formation energy   -0.511 eV/atom



# 6
DFT (GGA-PBE) results for an optimized crystal structure of Ac2PdPt.

Cell: 4.698 6.146 8.295 Å, 109.57 90.00 90.00°
Atoms (fractional coordinates):
Ac 0.750 0.229 0.434
Ac 0.250 0.771 0.566
Ac 0.250 0.766 0.070
Ac 0.750 0.234 0.930
Pd 0.250 0.320 0.205
Pd 0.750 0.680 0.795
Pt 0.750 0.678 0.295
Pt 0.250 0.322 0.705

Output
Crystal system   monoclinic
Calculated formation energy   -0.995 eV/atom



# 7
DFT (GGA-PBE) results for an optimized crystal structure of NaYTe2N.

Cell: 5.587 5.587 4.271 Å, 90.00 90.00 90.00°
Last column: magnetic moment on the atom in μB.
Atoms (fractional coordinates):
Y 0.500 0.500 0.500  -0.01
Na 0.000 0.000 0.000  0.02
Te 0.000 0.500 0.000  0.17
Te 0.500 0.000 0.000  0.17
N 0.000 0.000 0.500  1.52

Output
E above lowest polymorph   0.548 eV/atom
Crystal system   tetragonal



# 8
DFT (GGA-PBE) results for an optimized crystal structure of CeNdTe2N.

Cell: 4.197 4.197 16.344 Å, 90.00 90.00 90.00°
Atoms (fractional coordinates):
Ce 0.500 0.000 0.563
Ce 0.000 0.500 0.437
Nd 0.500 0.000 0.140
Nd 0.000 0.500 0.860
Te 0.000 0.500 0.678
Te 0.000 0.500 0.081
Te 0.500 0.000 0.919
Te 0.500 0.000 0.322
N 0.000 0.000 0.500
N 0.500 0.500 0.500

Output
Crystal system   tetragonal
DFT total energy   -6.450 eV per atom